w | DFT (PBE-GGA) results for an optimized crystal structure of CsHg2Mo.

Magnetization, μB per atom: 0.923

Lattice parameters (Å, degrees): 6.0463 6.0463 18.8938 90.00 90.00 90.00
Space group I4_1/amd (No. 141, origin choice 2)
Asymmetric unit:
1 Cs 0.0000 0.2500 0.3750
2 Hg 0.0000 0.0000 0.0000
3 Mo 0.0000 0.2500 0.8750

=====

x | DFT (PBE-GGA) results for an optimized crystal structure of CsHg2Mo.

Magnetization, μB per atom: 1.183

Lattice parameters (Å, degrees): 8.0816 8.0816 8.0816 90.00 90.00 90.00
Space group Fm-3m (No. 225)
Asymmetric unit:
1 Cs 0.0000 0.0000 0.0000
2 Hg 0.2500 0.2500 0.2500
3 Mo 0.0000 0.0000 0.5000

=====

It is w that is the most stable of them.